Compound: RbZrVO2
Source: the Alexandria database
Functional: PBE with a Hubbard U
Structure: relaxed

Cell and atoms, written as CIF:
```
data_RbZrVO2
_chemical_formula_sum 'Rb1 Zr1 V1 O2'
_space_group_name_H-M_alt 'P 4/m m m'
_space_group_IT_number 123
_space_group_name_Hall '-P 4 2'
_cell_length_a 4.6599
_cell_length_b 4.6599
_cell_length_c 5.5794
_cell_angle_alpha 90.00
_cell_angle_beta 90.00
_cell_angle_gamma 90.00
loop_
_atom_site_label
_atom_site_type_symbol
_atom_site_fract_x
_atom_site_fract_y
_atom_site_fract_z
Rb1 Rb 0.0000 0.0000 0.0000
Zr1 Zr 0.0000 0.0000 0.5000
V1 V 0.5000 0.5000 0.5000
O1 O 0.0000 0.5000 0.0000
```

Output
**Final energy**: -18.857 eV for the cell shown
**Total magnetic moment**: 3.92 μB per formula unit
**Calculated density**: 3.6 Mg/m³